1.
# HgGe2Br (PBE, relaxed)
# E above lowest polymorph, kJ/mol of atoms: 0.0
# Uncorrected formation energy, meV per atom: 378.3
data_HgGe2Br
_space_group_name_H-M_alt 'P 1'
_space_group_IT_number 1
_space_group_name_Hall 'P 1'
_cell_length_a 5.055
_cell_length_b 5.055
_cell_length_c 5.055
_cell_angle_alpha 60.00
_cell_angle_beta 60.00
_cell_angle_gamma 60.00
loop_
_atom_site_label
_atom_site_type_symbol
_atom_site_fract_x
_atom_site_fract_y
_atom_site_fract_z
_atom_site_occupancy
Hg1 Hg 0.000 0.000 0.000 1
Ge1 Ge 0.250 0.250 0.250 1
Ge2 Ge 0.750 0.750 0.750 1
Br1 Br 0.500 0.500 0.500 1

2.
# RbCaHfGa2

A relaxed structure of RbCaHfGa2 (PBE, Alexandria).

```
data_RbCaHfGa2
_space_group_name_H-M_alt 'P 1'
_space_group_IT_number 1
_space_group_name_Hall 'P 1'
_cell_length_a 5.604
_cell_length_b 5.604
_cell_length_c 5.427
_cell_angle_alpha 90.00
_cell_angle_beta 90.00
_cell_angle_gamma 90.00
loop_
_atom_site_label
_atom_site_type_symbol
_atom_site_fract_x
_atom_site_fract_y
_atom_site_fract_z
_atom_site_occupancy
Rb1 Rb 0.000 0.000 0.000 1
Ca1 Ca 0.500 0.500 0.500 1
Hf1 Hf 0.000 0.000 0.500 1
Ga1 Ga 0.000 0.500 0.000 1
Ga2 Ga 0.500 0.000 0.000 1
```

3.
# HgPb2O (PBE, relaxed)
# E above lowest polymorph, kJ/mol of atoms: 10.8
# Uncorrected formation energy, meV per atom: -265.6
data_HgPb2O
_space_group_name_H-M_alt 'P 1'
_space_group_IT_number 1
_space_group_name_Hall 'P 1'
_cell_length_a 7.480
_cell_length_b 7.480
_cell_length_c 7.480
_cell_angle_alpha 130.16
_cell_angle_beta 130.16
_cell_angle_gamma 73.16
loop_
_atom_site_label
_atom_site_type_symbol
_atom_site_fract_x
_atom_site_fract_y
_atom_site_fract_z
_atom_site_occupancy
Hg1 Hg 0.000 0.000 0.000 1
Hg2 Hg 0.750 0.250 0.500 1
Pb1 Pb 0.214 0.625 0.089 1
Pb2 Pb 0.375 0.464 0.589 1
Pb3 Pb 0.536 0.125 0.911 1
Pb4 Pb 0.875 0.786 0.411 1
O1 O 0.250 0.750 0.500 1
O2 O 0.500 0.500 0.000 1

4.
# La3TbHo2 (PBE, relaxed)
# E above lowest polymorph, kJ/mol of atoms: 29.7
data_La3TbHo2
_space_group_name_H-M_alt 'P 1'
_space_group_IT_number 1
_space_group_name_Hall 'P 1'
_cell_length_a 10.476
_cell_length_b 10.476
_cell_length_c 10.476
_cell_angle_alpha 160.82
_cell_angle_beta 146.67
_cell_angle_gamma 38.73
loop_
_atom_site_label
_atom_site_type_symbol
_atom_site_fract_x
_atom_site_fract_y
_atom_site_fract_z
_atom_site_occupancy
La1 La 0.000 0.000 0.000 1
La2 La 0.312 0.812 0.500 1
La3 La 0.688 0.188 0.500 1
Tb1 Tb 0.500 0.000 0.500 1
Ho1 Ho 0.137 0.637 0.500 1
Ho2 Ho 0.863 0.363 0.500 1

5.
# AcCuSe2O8 (PBE, relaxed)
# Uncorrected formation energy, meV per atom: -1166.0
data_AcCuSe2O8
_space_group_name_H-M_alt 'P 1'
_space_group_IT_number 1
_space_group_name_Hall 'P 1'
_cell_length_a 7.805
_cell_length_b 7.805
_cell_length_c 7.805
_cell_angle_alpha 38.09
_cell_angle_beta 38.09
_cell_angle_gamma 38.09
loop_
_atom_site_label
_atom_site_type_symbol
_atom_site_fract_x
_atom_site_fract_y
_atom_site_fract_z
_atom_site_occupancy
Ac1 Ac 0.000 0.000 0.000 1
Cu1 Cu 0.500 0.500 0.500 1
Se1 Se 0.247 0.247 0.247 1
Se2 Se 0.753 0.753 0.753 1
O1 O 0.084 0.442 0.791 1
O2 O 0.209 0.916 0.558 1
O3 O 0.326 0.326 0.326 1
O4 O 0.442 0.791 0.084 1
O5 O 0.558 0.209 0.916 1
O6 O 0.674 0.674 0.674 1
O7 O 0.791 0.084 0.442 1
O8 O 0.916 0.558 0.209 1

6.
# Sm2AuS (PBE, relaxed)
# E above lowest polymorph, kJ/mol of atoms: 8.5
# Uncorrected formation energy, meV per atom: -1315.2
data_Sm2AuS
_space_group_name_H-M_alt 'P 1'
_space_group_IT_number 1
_space_group_name_Hall 'P 1'
_cell_length_a 7.764
_cell_length_b 7.764
_cell_length_c 7.764
_cell_angle_alpha 29.58
_cell_angle_beta 29.58
_cell_angle_gamma 29.58
loop_
_atom_site_label
_atom_site_type_symbol
_atom_site_fract_x
_atom_site_fract_y
_atom_site_fract_z
_atom_site_occupancy
Sm1 Sm 0.000 0.000 0.000 1
Sm2 Sm 0.181 0.181 0.181 1
Au1 Au 0.423 0.423 0.423 1
S1 S 0.592 0.592 0.592 1

Number 1: N(E_F) 2.82 states/eV/cell, DFT total energy -2.424 eV per atom. Number 2: N(E_F) 8.06 states/eV/cell, DFT total energy -2.354 eV per atom. Number 3: N(E_F) 4.45 states/eV/cell, DFT total energy -3.435 eV per atom. Number 4: N(E_F) 10.24 states/eV/cell, DFT total energy -4.442 eV per atom. Number 5: N(E_F) 5.52 states/eV/cell, DFT total energy -5.736 eV per atom. Number 6: N(E_F) 3.02 states/eV/cell, DFT total energy -5.526 eV per atom.